Record 1
HgP3H12 after structural relaxation, computed with GGA-PBE.

CIF file:
```
data_HgP3H12
_chemical_formula_sum 'Hg2 P6 H24'
_symmetry_space_group_name_H-M 'P 1'
_symmetry_Int_Tables_number 1
_cell_length_a 7.4367
_cell_length_b 7.4368
_cell_length_c 10.1941
_cell_angle_alpha 68.61
_cell_angle_beta 68.61
_cell_angle_gamma 60.00
loop_
_symmetry_equiv_pos_as_xyz
'x,y,z'
loop_
_atom_site_label
_atom_site_fract_x
_atom_site_fract_y
_atom_site_fract_z
_atom_site_occupancy
Hg1 0.0819 0.0819 0.7543 1
Hg2 0.5819 0.5819 0.2543 1
P1 0.6540 0.3254 0.0082 1
P2 0.1540 0.5124 0.5082 1
P3 0.8254 0.1540 0.5082 1
P4 0.3254 0.0124 0.0082 1
P5 0.0124 0.6540 0.0082 1
P6 0.5124 0.8254 0.5082 1
H1 0.2020 0.1313 0.8761 1
H2 0.0342 0.3745 0.6398 1
H3 0.9915 0.2187 0.4221 1
H4 0.8324 0.2009 0.0732 1
H5 0.3324 0.3935 0.5732 1
H6 0.4915 0.8678 0.9221 1
H7 0.5342 0.4515 0.1398 1
H8 0.2187 0.3678 0.4221 1
H9 0.7020 0.2907 0.3761 1
H10 0.9515 0.0342 0.6398 1
H11 0.7009 0.3324 0.5732 1
H12 0.2907 0.6313 0.3761 1
H13 0.8678 0.7187 0.9221 1
H14 0.7907 0.2020 0.8761 1
H15 0.2009 0.8935 0.0732 1
H16 0.4515 0.8745 0.1398 1
H17 0.8745 0.5342 0.1398 1
H18 0.7187 0.4915 0.9221 1
H19 0.6313 0.7020 0.3761 1
H20 0.8935 0.8324 0.0732 1
H21 0.3935 0.7009 0.5732 1
H22 0.1313 0.7907 0.8761 1
H23 0.3745 0.9515 0.6398 1
H24 0.3678 0.9915 0.4221 1
```

## Properties
Total energy in Ha/atom: -0.12359

=====

Record 2
HgP2H4 after structural relaxation, computed with GGA-PBE.

CIF file:
```
data_HgP2H4
_chemical_formula_sum 'Hg2 P4 H8'
_symmetry_space_group_name_H-M 'P 1'
_symmetry_Int_Tables_number 1
_cell_length_a 7.5078
_cell_length_b 7.5140
_cell_length_c 7.5242
_cell_angle_alpha 97.51
_cell_angle_beta 97.54
_cell_angle_gamma 138.56
loop_
_symmetry_equiv_pos_as_xyz
'x,y,z'
loop_
_atom_site_label
_atom_site_fract_x
_atom_site_fract_y
_atom_site_fract_z
_atom_site_occupancy
Hg1 0.2546 0.7461 0.5039 1
Hg2 0.9966 0.0045 0.0043 1
P1 0.6627 0.6617 0.5001 1
P2 0.0892 0.0884 0.5009 1
P3 0.9113 0.4123 0.9997 1
P4 0.3380 0.8389 0.0005 1
H1 0.9978 0.2005 0.4922 1
H2 0.2146 0.2117 0.7056 1
H3 0.7490 0.5445 0.5028 1
H4 0.4614 0.9642 0.2052 1
H5 0.7934 0.2869 0.7950 1
H6 0.5371 0.5439 0.2954 1
H7 0.4509 0.7483 0.9920 1
H8 0.7934 0.4980 0.0025 1
```

## Properties
Total energy in Ha/atom: -0.12881

=====

Record 3
HgP2H after structural relaxation, computed with GGA-PBE.

CIF file:
```
data_HgP2H
_chemical_formula_sum 'Hg1 P2 H1'
_symmetry_space_group_name_H-M 'P 1'
_symmetry_Int_Tables_number 1
_cell_length_a 4.4507
_cell_length_b 4.4507
_cell_length_c 4.4507
_cell_angle_alpha 60.00
_cell_angle_beta 60.00
_cell_angle_gamma 60.00
loop_
_symmetry_equiv_pos_as_xyz
'x,y,z'
loop_
_atom_site_label
_atom_site_fract_x
_atom_site_fract_y
_atom_site_fract_z
_atom_site_occupancy
P1 0.2500 0.2500 0.2500 1
P2 0.7500 0.7500 0.7500 1
Hg1 0.5000 0.5000 0.5000 1
H1 0.0000 0.0000 0.0000 1
```

## Properties
Total energy in Ha/atom: -0.09210

=====

Record 4
Hg3PH after structural relaxation, computed with GGA-PBE.

CIF file:
```
data_Hg3PH
_chemical_formula_sum 'Hg3 P1 H1'
_symmetry_space_group_name_H-M 'P 1'
_symmetry_Int_Tables_number 1
_cell_length_a 5.1927
_cell_length_b 5.1927
_cell_length_c 5.1927
_cell_angle_alpha 90.00
_cell_angle_beta 90.00
_cell_angle_gamma 90.00
loop_
_symmetry_equiv_pos_as_xyz
'x,y,z'
loop_
_atom_site_label
_atom_site_fract_x
_atom_site_fract_y
_atom_site_fract_z
_atom_site_occupancy
P1 0.0000 0.0000 0.0000 1
Hg1 0.0000 0.5000 0.0000 1
Hg2 0.0000 0.0000 0.5000 1
Hg3 0.5000 0.0000 0.0000 1
H1 0.5000 0.5000 0.5000 1
```

## Properties
Total energy in Ha/atom: -0.04930

=====

Record 5
Hg2PHPd after structural relaxation, computed with GGA-PBE.

CIF file:
```
data_Hg2PHPd
_chemical_formula_sum 'Hg2 P1 H1 Pd1'
_symmetry_space_group_name_H-M 'P 1'
_symmetry_Int_Tables_number 1
_cell_length_a 4.9946
_cell_length_b 3.3585
_cell_length_c 4.9946
_cell_angle_alpha 90.00
_cell_angle_beta 90.00
_cell_angle_gamma 90.00
loop_
_symmetry_equiv_pos_as_xyz
'x,y,z'
loop_
_atom_site_label
_atom_site_fract_x
_atom_site_fract_y
_atom_site_fract_z
_atom_site_occupancy
P1 0.5000 0.5000 0.5000 1
Hg1 0.0000 0.0000 0.5000 1
Hg2 0.5000 0.0000 0.0000 1
Pd1 0.0000 0.5000 0.0000 1
H1 0.0000 0.0000 0.0000 1
```

## Properties
Total energy in Ha/atom: -0.09219

=====

Record 6
HgPH2Pt after structural relaxation, computed with GGA-PBE.

CIF file:
```
data_HgPH2Pt
_chemical_formula_sum 'Hg1 P1 H2 Pt1'
_symmetry_space_group_name_H-M 'P 1'
_symmetry_Int_Tables_number 1
_cell_length_a 3.6030
_cell_length_b 5.6975
_cell_length_c 3.6030
_cell_angle_alpha 90.00
_cell_angle_beta 90.00
_cell_angle_gamma 90.00
loop_
_symmetry_equiv_pos_as_xyz
'x,y,z'
loop_
_atom_site_label
_atom_site_fract_x
_atom_site_fract_y
_atom_site_fract_z
_atom_site_occupancy
P1 0.5000 0.5000 0.5000 1
Hg1 0.0000 0.5000 0.0000 1
Pt1 0.0000 0.0000 0.0000 1
H1 0.0000 0.0000 0.5000 1
H2 0.5000 0.0000 0.0000 1
```

## Properties
Total energy in Ha/atom: -0.11847

=====

Record 7
RbHgP2H after structural relaxation, computed with GGA-PBE.

CIF file:
```
data_RbHgP2H
_chemical_formula_sum 'Rb1 Hg1 P2 H1'
_symmetry_space_group_name_H-M 'P 1'
_symmetry_Int_Tables_number 1
_cell_length_a 5.6093
_cell_length_b 3.5954
_cell_length_c 5.6093
_cell_angle_alpha 90.00
_cell_angle_beta 90.00
_cell_angle_gamma 90.00
loop_
_symmetry_equiv_pos_as_xyz
'x,y,z'
loop_
_atom_site_label
_atom_site_fract_x
_atom_site_fract_y
_atom_site_fract_z
_atom_site_occupancy
P1 0.0000 0.0000 0.5000 1
P2 0.5000 0.0000 0.0000 1
Hg1 0.0000 0.0000 0.0000 1
Rb1 0.5000 0.5000 0.5000 1
H1 0.0000 0.5000 0.0000 1
```

## Properties
Total energy in Ha/atom: -0.08902

=====

Record 8
HgPHS2 after structural relaxation, computed with GGA-PBE.

CIF file:
```
data_HgPHS2
_chemical_formula_sum 'Hg1 P1 H1 S2'
_symmetry_space_group_name_H-M 'P 1'
_symmetry_Int_Tables_number 1
_cell_length_a 5.1059
_cell_length_b 5.1059
_cell_length_c 5.1552
_cell_angle_alpha 90.00
_cell_angle_beta 90.00
_cell_angle_gamma 90.00
loop_
_symmetry_equiv_pos_as_xyz
'x,y,z'
loop_
_atom_site_label
_atom_site_fract_x
_atom_site_fract_y
_atom_site_fract_z
_atom_site_occupancy
P1 0.0000 0.0000 0.5000 1
S1 0.0000 0.5000 0.0000 1
S2 0.5000 0.0000 0.0000 1
Hg1 0.0000 0.0000 0.0000 1
H1 0.5000 0.5000 0.5000 1
```

## Properties
Total energy in Ha/atom: -0.06998

=====

Record 9
HgP2HS after structural relaxation, computed with GGA-PBE.

CIF file:
```
data_HgP2HS
_chemical_formula_sum 'Hg1 P2 H1 S1'
_symmetry_space_group_name_H-M 'P 1'
_symmetry_Int_Tables_number 1
_cell_length_a 3.6088
_cell_length_b 3.6088
_cell_length_c 8.0217
_cell_angle_alpha 90.00
_cell_angle_beta 90.00
_cell_angle_gamma 90.00
loop_
_symmetry_equiv_pos_as_xyz
'x,y,z'
loop_
_atom_site_label
_atom_site_fract_x
_atom_site_fract_y
_atom_site_fract_z
_atom_site_occupancy
P1 0.0000 0.5000 0.0000 1
P2 0.5000 0.0000 0.0000 1
S1 0.0000 0.0000 0.5000 1
Hg1 0.5000 0.5000 0.5000 1
H1 0.0000 0.0000 0.0000 1
```

## Properties
Total energy in Ha/atom: -0.11199

=====

Record 10
HgP2H6S after structural relaxation, computed with GGA-PBE.

CIF file:
```
data_HgP2H6S
_chemical_formula_sum 'Hg2 P4 H12 S2'
_symmetry_space_group_name_H-M 'P 1'
_symmetry_Int_Tables_number 1
_cell_length_a 9.5292
_cell_length_b 9.5291
_cell_length_c 7.6109
_cell_angle_alpha 101.33
_cell_angle_beta 101.33
_cell_angle_gamma 131.62
loop_
_symmetry_equiv_pos_as_xyz
'x,y,z'
loop_
_atom_site_label
_atom_site_fract_x
_atom_site_fract_y
_atom_site_fract_z
_atom_site_occupancy
Hg1 0.8834 0.1166 0.2500 1
Hg2 0.1166 0.8834 0.7500 1
P1 0.3240 0.0843 0.5854 1
P2 0.9157 0.6760 0.9147 1
P3 0.6760 0.9157 0.4146 1
P4 0.0843 0.3240 0.0853 1
H1 0.7596 0.3771 0.1700 1
H2 0.6229 0.2404 0.3300 1
H3 0.2404 0.6229 0.8300 1
H4 0.3771 0.7596 0.6700 1
H5 0.9928 0.1418 0.9207 1
H6 0.8582 0.0072 0.5793 1
H7 0.0072 0.8582 0.0793 1
H8 0.1418 0.9928 0.4207 1
H9 0.2584 0.3653 0.1923 1
H10 0.6347 0.7416 0.3077 1
H11 0.7416 0.6347 0.8077 1
H12 0.3653 0.2584 0.6923 1
S1 0.6379 0.3621 0.2500 1
S2 0.3621 0.6379 0.7500 1
```

## Properties
Total energy in Ha/atom: -0.13125

=====

Record 11
HgPHS2 after structural relaxation, computed with GGA-PBE.

CIF file:
```
data_HgPHS2
_chemical_formula_sum 'Hg1 P1 H1 S2'
_symmetry_space_group_name_H-M 'P 1'
_symmetry_Int_Tables_number 1
_cell_length_a 4.9462
_cell_length_b 4.9462
_cell_length_c 3.2105
_cell_angle_alpha 90.00
_cell_angle_beta 90.00
_cell_angle_gamma 90.00
loop_
_symmetry_equiv_pos_as_xyz
'x,y,z'
loop_
_atom_site_label
_atom_site_fract_x
_atom_site_fract_y
_atom_site_fract_z
_atom_site_occupancy
P1 0.0000 0.0000 0.5000 1
S1 0.0000 0.5000 0.0000 1
S2 0.5000 0.0000 0.0000 1
Hg1 0.5000 0.5000 0.5000 1
H1 0.0000 0.0000 0.0000 1
```

## Properties
Total energy in Ha/atom: -0.09947

=====

Record 12
HgP2HS after structural relaxation, computed with GGA-PBE.

CIF file:
```
data_HgP2HS
_chemical_formula_sum 'Hg1 P2 H1 S1'
_symmetry_space_group_name_H-M 'P 1'
_symmetry_Int_Tables_number 1
_cell_length_a 5.0783
_cell_length_b 5.0783
_cell_length_c 5.1498
_cell_angle_alpha 90.00
_cell_angle_beta 90.00
_cell_angle_gamma 90.00
loop_
_symmetry_equiv_pos_as_xyz
'x,y,z'
loop_
_atom_site_label
_atom_site_fract_x
_atom_site_fract_y
_atom_site_fract_z
_atom_site_occupancy
P1 0.0000 0.5000 0.0000 1
P2 0.5000 0.0000 0.0000 1
S1 0.0000 0.0000 0.5000 1
Hg1 0.0000 0.0000 0.0000 1
H1 0.5000 0.5000 0.5000 1
```

## Properties
Total energy in Ha/atom: -0.07342

=====

- Which value of total energy does entry 9 give?
  -0.11199 Ha/atom

=====

- The lowest total energy belongs to which entry?
  HgP2H6S

=====

- The lowest total energy belongs to which entry?
  HgP2H6S

=====

- Which formula does entry 3 have?
  HgP2H